No. 1
# DyZrIr

Crystalline DyZrIr at its relaxed geometry (GGA-PBE, Alexandria via LeMat-Bulk).

Formation energy = -0.559 eV per atom
Magnetic moment = 0.00 μB/f.u.

Lattice parameters (Å, degrees): 5.5581 4.5613 5.8570 90.00 105.68 90.00
Fractional coordinates of all 6 atoms:
Dy 0.0772 0.2500 0.2818
Dy 0.9228 0.7500 0.7182
Zr 0.4704 0.2500 0.8294
Zr 0.5296 0.7500 0.1706
Ir 0.3738 0.7500 0.5886
Ir 0.6262 0.2500 0.4114



No. 2
# KZr2Ni

Crystalline KZr2Ni at its relaxed geometry (GGA-PBE, Alexandria via LeMat-Bulk).

Formation energy = 0.286 eV per atom
Magnetic moment = 0.54 μB/f.u.

Lattice parameters (Å, degrees): 3.0600 3.0983 10.4948 90.00 90.00 90.00
Fractional coordinates of all 4 atoms:
K 0.0000 0.0000 0.0000
Zr 0.5000 0.5000 0.3382
Zr 0.5000 0.5000 0.6618
Ni 0.0000 0.0000 0.5000